CoCuPb3 | GGA-PBEsol | optimized geometry

Results
Calculated volume, Å³/cell: 132
ΔH_f (0 K), eV/atom: 0.9249

```
5
Lattice="5.0879 0.0000 0.0000 0.0000 5.0879 0.0000 0.0000 0.0000 5.0879" Properties=species:S:1:pos:R:3 pbc="T T T"
Pb 2.5440 0.0000 0.0000
Cu 0.0000 0.0000 0.0000
Pb 0.0000 0.0000 2.5440
Pb 0.0000 2.5440 0.0000
Co 2.5440 2.5440 2.5440
```